# Mg2Tl2Cl7

Crystalline Mg2Tl2Cl7 at its relaxed geometry (PBE-GGA, Alexandria).

```
11
Lattice="6.468 -0.081 -0.117 -0.787 7.717 0.410 -0.787 -2.326 7.369" Properties=species:S:1:pos:R:3 pbc="T T T"
Mg 5.533 1.162 1.677
Mg -0.639 4.148 5.986
Tl 2.447 0.683 5.198
Tl 2.447 4.627 2.465
Cl 0.630 5.670 4.703
Cl 4.264 2.897 0.702
Cl 4.264 -0.360 2.960
Cl 0.630 2.413 6.960
Cl 0.000 0.000 0.000
Cl 4.026 3.197 4.614
Cl 0.868 2.113 3.049
```

Summary:
Crystal system = monoclinic



# MgTlCl2

Crystalline MgTlCl2 at its relaxed geometry (PBE-GGA, Alexandria).

```
4
Lattice="5.428 0.018 0.000 -0.017 5.428 0.000 0.000 0.000 3.584" Properties=species:S:1:pos:R:3 pbc="T T T"
Cl 0.000 0.000 0.000
Cl 2.705 2.723 0.000
Mg 2.714 0.009 1.792
Tl -0.009 2.714 1.792
```

Summary:
ΔE to the lowest computed polymorph = 0.541 eV per atom
Crystal system = tetragonal



# MgTlCl2

Crystalline MgTlCl2 at its relaxed geometry (PBE-GGA, Alexandria).

```
4
Lattice="6.236 -0.130 0.079 1.927 5.932 -0.079 -2.910 -4.548 3.123" Properties=species:S:1:pos:R:3 pbc="T T T"
Cl 7.502 5.333 0.000
Cl 4.741 3.370 0.000
Mg 3.703 -0.888 1.601
Tl 1.549 2.143 1.522
```

Summary:
ΔE to the lowest computed polymorph = 0.186 eV per atom
Crystal system = orthorhombic



# MgTlCl4

Crystalline MgTlCl4 at its relaxed geometry (PBE-GGA, Alexandria).

```
6
Lattice="5.655 -1.277 1.870 3.279 4.237 2.898 1.179 -0.601 5.946" Properties=species:S:1:pos:R:3 pbc="T T T"
Mg 7.584 1.769 8.036
Tl 0.000 0.000 0.000
Cl 6.609 0.253 4.956
Cl 4.386 0.588 6.979
Cl 5.429 2.991 5.466
Cl 3.801 0.887 4.027
```

Summary:
ΔE to the lowest computed polymorph = 1.156 eV per atom
Crystal system = cubic



# MgTlCl3

Crystalline MgTlCl3 at its relaxed geometry (PBE-GGA, Alexandria).

```
20
Lattice="-3.229 1.662 1.182 -0.056 -5.364 7.390 7.984 10.201 7.465" Properties=species:S:1:pos:R:3 pbc="T T T"
Mg 3.565 2.506 9.299
Mg 1.134 3.994 6.737
Mg -2.051 -2.723 7.480
Mg 6.750 9.222 8.557
Tl 1.717 -1.404 9.750
Tl 2.982 7.904 6.287
Tl 4.117 6.708 11.069
Tl 0.582 -0.208 4.967
Cl -0.056 3.038 4.830
Cl 7.118 6.937 12.773
Cl -0.048 1.283 1.150
Cl 2.395 1.758 7.155
Cl 3.196 4.572 5.386
Cl 2.304 4.741 8.882
Cl 5.548 7.121 8.227
Cl 4.747 5.216 14.886
Cl -2.419 -0.437 3.264
Cl -0.849 -0.622 7.809
Cl 1.503 1.927 10.651
Cl 4.755 3.462 11.207
```

Summary:
ΔE to the lowest computed polymorph = 0.000 eV per atom
Crystal system = orthorhombic



# MgTlCl2

Crystalline MgTlCl2 at its relaxed geometry (PBE-GGA, Alexandria).

```
4
Lattice="-2.854 -0.298 2.317 -1.065 -3.069 -1.707 5.325 -7.024 5.657" Properties=species:S:1:pos:R:3 pbc="T T T"
Cl 0.571 -0.805 0.600
Cl 0.263 -4.078 2.735
Mg 0.866 -3.136 0.664
Tl 1.836 -7.418 4.243
```

Summary:
ΔE to the lowest computed polymorph = 0.121 eV per atom
Crystal system = monoclinic



# MgTlCl2

Crystalline MgTlCl2 at its relaxed geometry (PBE-GGA, Alexandria).

```
4
Lattice="6.302 -0.051 0.138 5.335 3.355 0.138 1.861 0.528 5.766" Properties=species:S:1:pos:R:3 pbc="T T T"
Cl 1.993 0.566 5.265
Cl 11.014 3.128 3.656
Mg 6.685 1.898 4.174
Tl 2.415 0.686 1.736
```

Summary:
ΔE to the lowest computed polymorph = 0.197 eV per atom
Crystal system = monoclinic



# MgTlCl2

Crystalline MgTlCl2 at its relaxed geometry (PBE-GGA, Alexandria).

```
4
Lattice="3.376 0.000 0.000 0.000 3.647 0.028 0.000 1.748 10.597" Properties=species:S:1:pos:R:3 pbc="T T T"
Cl 0.000 0.457 1.183
Cl 0.000 2.241 4.130
Mg 1.688 1.349 2.656
Tl 1.688 4.046 7.969
```

Summary:
ΔE to the lowest computed polymorph = 0.192 eV per atom
Crystal system = monoclinic



# MgTlCl3

Crystalline MgTlCl3 at its relaxed geometry (PBE-GGA, Alexandria).

```
5
Lattice="-2.427 -1.049 -4.274 -1.333 -4.477 1.855 -4.195 2.029 1.883" Properties=species:S:1:pos:R:3 pbc="T T T"
Tl -3.977 -1.748 -0.268
Mg 0.000 0.000 0.000
Cl -0.666 -2.238 0.928
Cl -2.097 1.015 0.942
Cl -1.213 -0.524 -2.137
```

Summary:
ΔE to the lowest computed polymorph = 0.025 eV per atom
Crystal system = cubic



# Mg3TlCl

Crystalline Mg3TlCl at its relaxed geometry (PBE-GGA, Alexandria).

```
5
Lattice="-0.745 4.479 -2.854 -5.252 -0.195 1.066 0.786 2.944 4.413" Properties=species:S:1:pos:R:3 pbc="T T T"
Tl 0.000 0.000 0.000
Mg -2.626 -0.097 0.533
Mg 0.393 1.472 2.207
Mg -0.373 2.239 -1.427
Cl -2.606 3.614 1.312
```

Summary:
ΔE to the lowest computed polymorph = 0.000 eV per atom
Crystal system = cubic



# MgUTlCl6

Crystalline MgUTlCl6 at its relaxed geometry (PBE-GGA, Alexandria).

```
18
Lattice="-6.513 -1.582 1.925 5.266 -0.841 4.494 -1.810 12.997 4.554" Properties=species:S:1:pos:R:3 pbc="T T T"
Mg -3.040 1.914 3.920
Mg -0.018 8.659 7.053
U 0.887 2.161 4.776
U -3.945 8.413 6.197
Tl 0.000 0.000 0.000
Tl -0.905 6.498 2.277
Cl -1.184 0.335 4.649
Cl -4.717 0.017 4.152
Cl 1.626 6.971 8.010
Cl 1.659 10.557 6.821
Cl -1.253 3.723 3.985
Cl -3.762 2.573 6.268
Cl -0.419 9.338 9.471
Cl -4.683 3.603 2.963
Cl 0.704 8.000 4.705
Cl -2.638 1.235 1.502
Cl -1.805 6.851 6.988
Cl -1.873 10.239 6.324
```

Summary:
Crystal system = trigonal



# MgTl2ZnCl6

Crystalline MgTl2ZnCl6 at its relaxed geometry (PBE-GGA, Alexandria).

```
10
Lattice="7.091 0.004 -0.003 3.549 6.139 -0.004 3.543 2.046 5.733" Properties=species:S:1:pos:R:3 pbc="T T T"
Mg 10.638 6.142 3.154
Tl 7.090 4.097 1.732
Tl 3.545 2.043 4.592
Zn 3.546 2.047 0.292
Cl 5.427 1.264 1.729
Cl 1.909 0.815 1.720
Cl 3.286 4.083 1.706
Cl 8.727 5.326 4.598
Cl 7.351 2.057 4.612
Cl 5.209 4.877 4.590
```

Summary:
Crystal system = triclinic



# MgTlZnCl5

Crystalline MgTlZnCl5 at its relaxed geometry (PBE-GGA, Alexandria).

```
16
Lattice="-6.187 -0.702 -3.781 4.625 -4.821 -2.904 -2.060 -3.648 8.267" Properties=species:S:1:pos:R:3 pbc="T T T"
Mg -1.030 -1.824 4.134
Mg 0.000 0.000 0.000
Tl 0.449 -4.338 -1.134
Tl -4.070 -4.833 2.716
Zn -3.327 -2.900 -1.441
Zn -0.295 -6.271 3.023
Cl 3.392 -5.459 -0.895
Cl -7.014 -3.712 2.478
Cl -4.386 -2.503 -3.443
Cl 0.765 -6.668 5.025
Cl -4.652 -2.388 0.368
Cl 1.030 -6.783 1.214
Cl -2.746 -5.114 -1.146
Cl -0.876 -4.057 2.728
Cl -1.393 -1.644 -1.531
Cl -2.229 -7.527 3.113
```

Summary:
Crystal system = monoclinic



# Tm2MgCl

Crystalline Tm2MgCl at its relaxed geometry (PBE-GGA, Alexandria).

```
4
Lattice="3.348 0.000 0.000 1.674 2.900 0.000 1.674 0.967 10.957" Properties=species:S:1:pos:R:3 pbc="T T T"
Mg 0.000 0.000 0.000
Tm 1.674 0.967 7.709
Tm 5.023 2.900 3.248
Cl 3.348 1.933 5.479
```

Summary:
Crystal system = trigonal



# MgUCl6

Crystalline MgUCl6 at its relaxed geometry (PBE-GGA, Alexandria).

```
8
Lattice="5.861 0.006 3.050 2.121 5.445 3.070 0.025 0.001 7.096" Properties=species:S:1:pos:R:3 pbc="T T T"
Mg 4.004 2.726 6.608
U 0.000 0.000 0.000
Cl 1.540 2.142 6.836
Cl 4.634 0.640 7.915
Cl 4.107 1.386 4.454
Cl 3.373 4.812 5.302
Cl 6.467 3.310 6.380
Cl 3.900 4.066 8.763
```

Summary:
ΔE to the lowest computed polymorph = 0.008 eV per atom
Crystal system = triclinic



# MgUCl6

Crystalline MgUCl6 at its relaxed geometry (PBE-GGA, Alexandria).

```
8
Lattice="7.039 -0.862 -0.193 -3.419 6.213 -0.193 -0.862 -1.274 6.248" Properties=species:S:1:pos:R:3 pbc="T T T"
Mg 0.000 0.000 0.000
U 1.379 2.038 2.931
Cl 0.257 0.379 4.601
Cl 2.085 -0.013 1.405
Cl 2.501 3.697 1.260
Cl 3.546 2.145 4.457
Cl 0.672 4.089 4.457
Cl -0.788 1.931 1.405
```

Summary:
ΔE to the lowest computed polymorph = 0.000 eV per atom
Crystal system = monoclinic



# MgUCl2

Crystalline MgUCl2 at its relaxed geometry (PBE-GGA, Alexandria).

```
4
Lattice="3.346 0.000 0.000 1.673 2.898 0.000 1.673 0.966 9.063" Properties=species:S:1:pos:R:3 pbc="T T T"
Mg 3.346 1.932 4.531
U 0.000 0.000 0.000
Cl 1.673 0.966 6.046
Cl 5.019 2.898 3.017
```

Summary:
Crystal system = trigonal



# Mg2UCl8

Crystalline Mg2UCl8 at its relaxed geometry (PBE-GGA, Alexandria).

```
11
Lattice="6.565 -0.228 -0.190 -0.361 8.652 2.643 -0.361 4.180 8.023" Properties=species:S:1:pos:R:3 pbc="T T T"
Mg 2.776 1.954 1.624
Mg 3.067 10.650 8.852
U 0.000 0.000 0.000
Cl 4.571 4.164 5.785
Cl 1.271 6.155 7.440
Cl 5.107 1.482 1.231
Cl 0.735 11.122 9.244
Cl 4.571 6.449 3.036
Cl 1.271 8.440 4.691
Cl 2.252 3.633 3.020
Cl 3.590 8.970 7.456
```

Summary:
Crystal system = monoclinic



# MgVCl2

Crystalline MgVCl2 at its relaxed geometry (PBE-GGA, Alexandria).

```
4
Lattice="0.000 3.366 3.366 3.366 0.000 3.366 3.366 3.366 0.000" Properties=species:S:1:pos:R:3 pbc="T T T"
Mg 0.000 0.000 0.000
V 3.366 3.366 3.366
Cl 1.683 1.683 1.683
Cl 5.049 5.049 5.049
```

Summary:
ΔE to the lowest computed polymorph = 0.513 eV per atom
Crystal system = cubic



# MgVCl3

Crystalline MgVCl3 at its relaxed geometry (PBE-GGA, Alexandria).

```
5
Lattice="4.890 0.000 0.000 0.000 4.890 0.000 0.000 0.000 4.890" Properties=species:S:1:pos:R:3 pbc="T T T"
Mg 0.000 0.000 0.000
V 2.445 2.445 2.445
Cl 0.000 2.445 0.000
Cl 0.000 0.000 2.445
Cl 2.445 0.000 0.000
```

Summary:
ΔE to the lowest computed polymorph = 0.097 eV per atom
Crystal system = cubic



# MgV3Cl

Crystalline MgV3Cl at its relaxed geometry (PBE-GGA, Alexandria).

```
5
Lattice="5.068 0.000 0.000 0.000 5.068 0.000 0.000 0.000 5.068" Properties=species:S:1:pos:R:3 pbc="T T T"
Mg 0.000 0.000 0.000
V 0.000 2.534 0.000
V 0.000 0.000 2.534
V 2.534 0.000 0.000
Cl 2.534 2.534 2.534
```

Summary:
ΔE to the lowest computed polymorph = 1.285 eV per atom
Crystal system = cubic



# MgVCl2

Crystalline MgVCl2 at its relaxed geometry (PBE-GGA, Alexandria).

```
8
Lattice="4.762 0.000 0.000 0.000 4.762 0.000 2.381 2.381 7.806" Properties=species:S:1:pos:R:3 pbc="T T T"
Mg 2.381 2.381 0.000
Mg 2.381 4.762 3.903
V 0.000 0.000 0.000
V 4.762 2.381 3.903
Cl 3.618 1.190 1.952
Cl 1.143 3.571 1.952
Cl 3.571 3.524 5.855
Cl 5.952 5.999 5.855
```

Summary:
ΔE to the lowest computed polymorph = 0.328 eV per atom
Crystal system = tetragonal



# MgV2Cl6

Crystalline MgV2Cl6 at its relaxed geometry (PBE-GGA, Alexandria).

```
9
Lattice="-3.026 1.410 1.483 -2.316 -4.964 -4.507 2.306 -3.850 8.369" Properties=species:S:1:pos:R:3 pbc="T T T"
Mg -1.873 -0.515 5.667
V -0.861 -3.909 6.462
V -2.176 -3.495 -1.117
Cl -0.232 -5.971 5.207
Cl -2.805 -1.432 0.138
Cl -4.581 -4.122 -0.929
Cl -1.267 -2.597 4.384
Cl 1.544 -3.282 6.274
Cl -1.769 -4.807 0.961
```

Summary:
Crystal system = monoclinic



# Mg3VCl8

Crystalline Mg3VCl8 at its relaxed geometry (PBE-GGA, Alexandria).

```
12
Lattice="7.309 0.000 0.000 -3.655 5.182 -3.637 0.000 0.189 7.777" Properties=species:S:1:pos:R:3 pbc="T T T"
Mg 3.655 0.000 0.000
Mg 1.827 2.591 -1.818
Mg -1.827 2.591 -1.818
V 0.000 0.000 0.000
Cl 0.000 2.853 4.226
Cl 3.655 2.518 -0.085
Cl 1.809 0.258 6.057
Cl 5.500 0.258 6.057
Cl 3.655 2.875 4.221
Cl 0.000 2.496 -0.080
Cl -1.845 5.113 -1.917
Cl 1.845 5.113 -1.917
```

Summary:
Crystal system = monoclinic



# MgVCl2

Crystalline MgVCl2 at its relaxed geometry (PBE-GGA, Alexandria).

```
4
Lattice="2.023 0.000 9.446 -1.012 1.752 9.446 -1.012 -1.752 9.446" Properties=species:S:1:pos:R:3 pbc="T T T"
Mg 0.000 0.000 0.000
V 0.000 0.000 14.169
Cl 0.000 0.000 25.030
Cl 0.000 0.000 3.308
```

Summary:
ΔE to the lowest computed polymorph = 0.000 eV per atom
Crystal system = trigonal



Number 1: formation energy (no corrections) -1.320 eV per atom. Number 2: formation energy (no corrections) -0.728 eV per atom. Number 3: formation energy (no corrections) -1.082 eV per atom. Number 4: formation energy (no corrections) -0.066 eV per atom. Number 5: formation energy (no corrections) -1.527 eV per atom. Number 6: formation energy (no corrections) -1.147 eV per atom. Number 7: formation energy (no corrections) -1.071 eV per atom. Number 8: formation energy (no corrections) -1.076 eV per atom. Number 9: formation energy (no corrections) -1.503 eV per atom. Number 10: formation energy (no corrections) -0.123 eV per atom. Number 11: formation energy (no corrections) -1.592 eV per atom. Number 12: formation energy (no corrections) -1.255 eV per atom. Number 13: formation energy (no corrections) -1.373 eV per atom. Number 14: formation energy (no corrections) -0.334 eV per atom. Number 15: formation energy (no corrections) -1.723 eV per atom. Number 16: formation energy (no corrections) -1.731 eV per atom. Number 17: formation energy (no corrections) -0.722 eV per atom. Number 18: formation energy (no corrections) -1.664 eV per atom. Number 19: formation energy (no corrections) -0.141 eV per atom. Number 20: formation energy (no corrections) -0.668 eV per atom. Number 21: formation energy (no corrections) 1.762 eV per atom. Number 22: formation energy (no corrections) -0.326 eV per atom. Number 23: formation energy (no corrections) -1.376 eV per atom. Number 24: formation energy (no corrections) -1.679 eV per atom. Number 25: formation energy (no corrections) -0.654 eV per atom.